Entry from Alexandria via LeMat-Bulk: an optimized crystal structure of CaDyPb (PBE).

Lattice parameters (Å, degrees): 3.543 3.543 9.074 101.26 101.26 90.00
Sites, in units of the cell vectors:
Dy1 0.143 0.143 0.286
Ca1 0.943 0.943 0.886
Pb1 0.764 0.764 0.528

The space group is I4mm, No. 107. The formation energy is 2.893 kcal/mol of atoms.